(one)
Computed, not measured: a relaxed PuHfTl crystal at the PBE level of DFT.

The crystal system is trigonal. The density of states at the Fermi level comes out at 2.662 states/eV/atom.

a b c (Å): 3.2889 3.2889 8.0273
angles (deg): 90.00 90.00 120.00
Space group P3m1 (No. 156)
One atom of each set of equivalent atoms:
Pu 0.0000 0.0000 0.0000 x1
Hf 0.3333 0.6667 0.6800 x1
Tl 0.6667 0.3333 0.3566 x1

***

(two)
Computed, not measured: a relaxed PuHfTl crystal at the PBE level of DFT.

The crystal system is tetragonal. The density of states at the Fermi level comes out at 2.093 states/eV/atom.

a b c (Å): 3.190 3.190 14.453
angles (deg): 90.00 90.00 90.00
Space group I4mm (No. 107)
One atom of each set of equivalent atoms:
Pu 0.000 0.000 0.000 x2
Hf 0.000 0.000 0.336 x2
Tl 0.000 0.000 0.676 x2

***

Top of the stability list: (two), leading by 2.8 kJ/mol of atoms.

***

(one)
Computed, not measured: a relaxed TmPuHf2 crystal at the PBE level of DFT.

The crystal system is tetragonal. The density of states at the Fermi level comes out at 2.740 states/eV/atom.

a b c (Å): 4.587 4.587 4.641
angles (deg): 90.00 90.00 90.00
Space group P4/mmm (No. 123)
One atom of each set of equivalent atoms:
Tm 0.000 0.000 0.000 x1
Pu 0.500 0.500 0.000 x1
Hf 0.000 0.500 0.500 x2

***

(two)
Computed, not measured: a relaxed TmPuHf2 crystal at the PBE level of DFT.

The crystal system is tetragonal. The density of states at the Fermi level comes out at 1.912 states/eV/atom.

a b c (Å): 3.757 3.757 6.952
angles (deg): 90.00 90.00 90.00
Space group P4/mmm (No. 123)
One atom of each set of equivalent atoms:
Tm 0.000 0.000 0.000 x1
Pu 0.000 0.000 0.500 x1
Hf 0.500 0.500 0.281 x2

***

(three)
Computed, not measured: a relaxed TmPuHf2 crystal at the PBE level of DFT.

The crystal system is trigonal. The density of states at the Fermi level comes out at 2.407 states/eV/atom.

a b c (Å): 3.2644 3.2644 31.9242
angles (deg): 90.00 90.00 120.00
Space group R-3m (No. 166, hexagonal axes)
One atom of each set of equivalent atoms:
Tm 0.0000 0.0000 0.0000 x3
Pu 0.0000 0.0000 0.5000 x3
Hf 0.0000 0.0000 0.2478 x6

***

Top of the stability list: (one), leading by 1.7 kJ/mol of atoms.

***

(one)
Computed, not measured: a relaxed PuHf2U crystal at the PBE level of DFT.

The crystal system is trigonal. The density of states at the Fermi level comes out at 2.730 states/eV/atom.

a b c (Å): 3.0902 3.0902 33.4804
angles (deg): 90.00 90.00 120.00
Space group R-3m (No. 166, hexagonal axes)
One atom of each set of equivalent atoms:
Pu 0.0000 0.0000 0.0000 x3
Hf 0.0000 0.0000 0.4116 x6
U 0.0000 0.0000 0.5000 x3

***

(two)
Computed, not measured: a relaxed PuHf2U crystal at the PBE level of DFT.

The crystal system is tetragonal. The density of states at the Fermi level comes out at 2.678 states/eV/atom.

a b c (Å): 3.056 3.056 9.778
angles (deg): 90.00 90.00 90.00
Space group P4/mmm (No. 123)
One atom of each set of equivalent atoms:
Pu 0.000 0.000 0.000 x1
Hf 0.500 0.500 0.253 x2
U 0.000 0.000 0.500 x1

***

Top of the stability list: (two), leading by 17.3 kJ/mol of atoms.

***

(one)
Computed, not measured: a relaxed PuHfV2 crystal at the PBE level of DFT.

The crystal system is tetragonal. The density of states at the Fermi level comes out at 1.881 states/eV/atom.

a b c (Å): 3.247 3.247 6.616
angles (deg): 90.00 90.00 90.00
Space group P4/mmm (No. 123)
One atom of each set of equivalent atoms:
Pu 0.000 0.000 0.000 x1
Hf 0.000 0.000 0.500 x1
V 0.500 0.500 0.224 x2

***

(two)
Computed, not measured: a relaxed PuHfV2 crystal at the PBE level of DFT.

The crystal system is trigonal. The density of states at the Fermi level comes out at 1.683 states/eV/atom.

a b c (Å): 4.4706 4.4706 12.5226
angles (deg): 90.00 90.00 120.00
Space group R-3m (No. 166, hexagonal axes)
One atom of each set of equivalent atoms:
Pu 0.0000 0.0000 0.0000 x3
Hf 0.0000 0.0000 0.5000 x3
V 0.0000 0.0000 0.2767 x6

***

(three)
Computed, not measured: a relaxed PuHfV2 crystal at the PBE level of DFT.

The crystal system is tetragonal. The density of states at the Fermi level comes out at 2.062 states/eV/atom.

a b c (Å): 4.679 4.679 3.244
angles (deg): 90.00 90.00 90.00
Space group P4/mmm (No. 123)
One atom of each set of equivalent atoms:
Pu 0.000 0.000 0.000 x1
Hf 0.500 0.500 0.000 x1
V 0.000 0.500 0.500 x2

***

Top of the stability list: (two), leading by 1.4 kJ/mol of atoms.

***

(one)
Computed, not measured: a relaxed PuHfZn4 crystal at the PBE level of DFT.

The crystal system is orthorhombic. The density of states at the Fermi level comes out at 1.411 states/eV/atom.

a b c (Å): 2.999 4.520 7.970
angles (deg): 90.00 90.00 90.00
Space group Pmmm (No. 47)
One atom of each set of equivalent atoms:
Pu 0.000 0.000 0.000 x1
Hf 0.000 0.500 0.500 x1
Zn 0.500 0.000 0.344 x2
Zn 0.500 0.500 0.181 x2

***

(two)
Computed, not measured: a relaxed PuHfZn4 crystal at the PBE level of DFT.

The crystal system is hexagonal. The density of states at the Fermi level comes out at 2.410 states/eV/atom.

a b c (Å): 4.3677 4.3677 6.9476
angles (deg): 90.00 90.00 120.00
Space group P6/mmm (No. 191)
One atom of each set of equivalent atoms:
Pu 0.0000 0.0000 0.0000 x1
Hf 0.0000 0.0000 0.5000 x1
Zn 0.3333 0.6667 0.2905 x4

***

Top of the stability list: (one), leading by 5.6 kJ/mol of atoms.

***

(one)
Computed, not measured: a relaxed PuHf2Zr crystal at the PBE level of DFT.

The crystal system is cubic. The density of states at the Fermi level comes out at 2.469 states/eV/atom.

a b c (Å): 7.140 7.140 7.140
angles (deg): 90.00 90.00 90.00
Space group Fm-3m (No. 225)
One atom of each set of equivalent atoms:
Pu 0.000 0.000 0.000 x4
Hf 0.250 0.250 0.250 x8
Zr 0.000 0.000 0.500 x4

***

(two)
Computed, not measured: a relaxed PuHf2Zr crystal at the PBE level of DFT.

The crystal system is trigonal. The density of states at the Fermi level comes out at 2.303 states/eV/atom.

a b c (Å): 3.2238 3.2238 31.1759
angles (deg): 90.00 90.00 120.00
Space group R3m (No. 160, hexagonal axes)
One atom of each set of equivalent atoms:
Pu 0.0000 0.0000 0.0000 x3
Hf 0.0000 0.0000 0.2483 x3
Hf 0.0000 0.0000 0.4189 x3
Zr 0.0000 0.0000 0.8333 x3

***

Top of the stability list: (two), leading by 5.5 kJ/mol of atoms.

***

(one)
Computed, not measured: a relaxed PuHf2Zr crystal at the PBE level of DFT.

The crystal system is tetragonal. The density of states at the Fermi level comes out at 1.879 states/eV/atom.

a b c (Å): 3.186 3.186 9.069
angles (deg): 90.00 90.00 90.00
Space group P4/mmm (No. 123)
One atom of each set of equivalent atoms:
Pu 0.000 0.000 0.000 x1
Hf 0.500 0.500 0.252 x2
Zr 0.000 0.000 0.500 x1

***

(two)
Computed, not measured: a relaxed PuHf2Zr crystal at the PBE level of DFT.

The crystal system is trigonal. The density of states at the Fermi level comes out at 2.422 states/eV/atom.

a b c (Å): 3.2092 3.2092 31.2008
angles (deg): 90.00 90.00 120.00
Space group R-3m (No. 166, hexagonal axes)
One atom of each set of equivalent atoms:
Pu 0.0000 0.0000 0.0000 x3
Hf 0.0000 0.0000 0.2485 x6
Zr 0.0000 0.0000 0.5000 x3

***

(three)
Computed, not measured: a relaxed PuHf2Zr crystal at the PBE level of DFT.

The crystal system is tetragonal. The density of states at the Fermi level comes out at 1.776 states/eV/atom.

a b c (Å): 5.279 5.279 3.277
angles (deg): 90.00 90.00 90.00
Space group P4/mmm (No. 123)
One atom of each set of equivalent atoms:
Pu 0.000 0.000 0.000 x1
Hf 0.000 0.500 0.500 x2
Zr 0.500 0.500 0.000 x1

***

Top of the stability list: (one), leading by 3.0 kJ/mol of atoms.

***

(one)
Computed, not measured: a relaxed Pu2Hf2Zr7 crystal at the PBE level of DFT.

The crystal system is monoclinic. The density of states at the Fermi level comes out at 1.953 states/eV/atom.

a b c (Å): 8.581 8.231 7.790
angles (deg): 90.00 105.74 90.00
Space group C2/m (No. 12)
One atom of each set of equivalent atoms:
Pu 0.000 0.183 0.000 x4
Hf 0.094 0.500 0.342 x4
Zr 0.000 0.000 0.500 x2
Zr 0.200 0.500 0.024 x4
Zr 0.209 0.306 0.676 x8

***

(two)
Computed, not measured: a relaxed Pu2Hf2Zr7 crystal at the PBE level of DFT.

The crystal system is monoclinic. The density of states at the Fermi level comes out at 1.411 states/eV/atom.

a b c (Å): 6.015 15.867 10.860
angles (deg): 90.00 92.94 90.00
Space group C2/c (No. 15)
One atom of each set of equivalent atoms:
Pu 0.172 0.101 0.417 x8
Hf 0.181 0.020 0.660 x8
Zr 0.000 0.392 0.750 x4
Zr 0.120 0.210 0.628 x8
Zr 0.142 0.222 0.130 x8
Zr 0.154 0.416 0.072 x8

***

Top of the stability list: (two), leading by 2.8 kJ/mol of atoms.

***

(one)
Computed, not measured: a relaxed PuHfZr3 crystal at the PBE level of DFT.

The crystal system is monoclinic. The density of states at the Fermi level comes out at 1.735 states/eV/atom.

a b c (Å): 5.390 5.953 7.705
angles (deg): 90.00 108.83 90.00
Space group P2_1/m (No. 11)
One atom of each set of equivalent atoms:
Pu 0.008 0.250 0.190 x2
Hf 0.400 0.250 0.005 x2
Zr 0.191 0.750 0.211 x2
Zr 0.299 0.000 0.608 x4

***

(two)
Computed, not measured: a relaxed PuHfZr3 crystal at the PBE level of DFT.

The crystal system is triclinic. The density of states at the Fermi level comes out at 1.395 states/eV/atom.

a b c (Å): 5.600 6.154 7.606
angles (deg): 104.72 111.60 90.49
Space group P-1 (No. 2)
One atom of each set of equivalent atoms:
Pu 0.111 0.151 0.397 x2
Hf 0.297 0.651 0.402 x2
Zr 0.087 0.249 0.995 x2
Zr 0.317 0.546 0.794 x2
Zr 0.497 0.052 0.804 x2

***

Top of the stability list: (two), leading by 12.9 kJ/mol of atoms.

***

(one)
Computed, not measured: a relaxed PuHf3Zr2 crystal at the PBE level of DFT.

The crystal system is orthorhombic. The density of states at the Fermi level comes out at 1.511 states/eV/atom.

a b c (Å): 12.558 10.695 4.023
angles (deg): 90.00 90.00 90.00
Space group Cmcm (No. 63)
One atom of each set of equivalent atoms:
Pu 0.000 0.049 0.250 x4
Hf 0.000 0.251 0.750 x4
Hf 0.118 0.400 0.250 x8
Zr 0.204 0.127 0.250 x8

***

(two)
Computed, not measured: a relaxed PuHf3Zr2 crystal at the PBE level of DFT.

The crystal system is triclinic. The density of states at the Fermi level comes out at 1.874 states/eV/atom.

a b c (Å): 3.134 7.873 11.634
angles (deg): 79.68 82.27 78.61
Space group P-1 (No. 2)
One atom of each set of equivalent atoms:
Pu 0.061 0.005 0.373 x2
Hf 0.027 0.648 0.800 x2
Hf 0.270 0.665 0.293 x2
Hf 0.396 0.672 0.038 x2
Zr 0.309 0.011 0.871 x2
Zr 0.355 0.331 0.461 x2

***

Top of the stability list: (two), leading by 22.5 kJ/mol of atoms.